Record 1
A relaxed structure of PmAl6Cu4, computed with PBE-GGA.

Computed properties:
Its formation energy from the elements is -0.3337 eV per atom. The value obtained for the energy is -4.296 eV/atom.

Lattice parameters (Å, degrees): 4.0254 7.0829 7.0829 120.00 90.00 90.00
Last column: nearest neighbours and their distance in Å.
Element x y z (fractional)
Pm (0.0000, 0.0000, 0.0000)  12 Al 3.19-3.57, 6 Cu 3.25
Al (0.0000, 0.5341, 0.0682)  5 Cu 2.46-2.56
Al (0.5000, 0.5976, 0.7988)  4 Cu 2.51-2.58, 2 Al 2.81
Al (0.0000, 0.5341, 0.4659)  5 Cu 2.46-2.56
Al (0.0000, 0.9318, 0.4659)  5 Cu 2.46-2.56
Al (0.5000, 0.2012, 0.7988)  4 Cu 2.51-2.58, 2 Al 2.81
Al (0.5000, 0.2012, 0.4024)  4 Cu 2.51-2.58, 2 Al 2.81
Cu (0.5000, 0.7921, 0.5841)  6 Al 2.51-2.56, 2 Cu 2.66
Cu (0.5000, 0.4159, 0.2079)  6 Al 2.51-2.56, 2 Cu 2.66
Cu (0.5000, 0.7921, 0.2079)  6 Al 2.51-2.56, 2 Cu 2.66
Cu (0.0000, 0.3333, 0.6667)  9 Al 2.46-2.58

=====

Record 2
A relaxed structure of Pm5Al4Cu, computed with PBE-GGA.

Computed properties:
Its formation energy from the elements is -0.3228 eV per atom. The value obtained for the energy is -4.605 eV/atom.

Lattice parameters (Å, degrees): 3.5643 3.5643 19.5281 90.00 90.00 90.00
Last column: nearest neighbours and their distance in Å.
Element x y z (fractional)
Pm (0.5000, 0.5000, 0.0935)  4 Cu 3.11, 4 Al 3.18
Pm (0.5000, 0.5000, 0.2965)  8 Al 3.21-3.23, 4 Pm 3.56
Pm (0.5000, 0.5000, 0.5000)  8 Al 3.21, 4 Pm 3.56
Pm (0.5000, 0.5000, 0.7035)  8 Al 3.21-3.23, 4 Pm 3.56
Pm (0.5000, 0.5000, 0.9065)  4 Cu 3.11, 4 Al 3.18
Al (0.0000, 0.0000, 0.1927)  8 Pm 3.18-3.23
Al (0.0000, 0.0000, 0.3980)  8 Pm 3.21, 4 Al 3.56
Al (0.0000, 0.0000, 0.6020)  8 Pm 3.21, 4 Al 3.56
Al (0.0000, 0.0000, 0.8073)  8 Pm 3.18-3.23
Cu (0.0000, 0.0000, 0.0000)  8 Pm 3.11

=====

Record 3
A relaxed structure of Pm3AlCu8, computed with PBE-GGA.

Computed properties:
Its formation energy from the elements is -0.1503 eV per atom. The value obtained for the energy is -4.381 eV/atom.

Lattice parameters (Å, degrees): 5.2360 5.2360 9.0371 73.16 73.16 60.00
Last column: nearest neighbours and their distance in Å.
Element x y z (fractional)
Pm (0.3790, 0.3790, 0.8629)  12 Cu 3.05-3.17, 4 Pm 3.20-3.31
Pm (0.9929, 0.9929, 0.0212)  12 Cu 2.99-3.29, 1 Al 3.19, 3 Pm 3.31
Pm (0.5042, 0.5042, 0.4873)  12 Cu 2.95-3.09, 3 Al 3.12, 1 Pm 3.20
Al (0.8681, 0.8681, 0.3958)  12 Cu 2.84-3.15, 3 Pm 3.12
Cu (0.9426, 0.4331, 0.1912)  6 Cu 2.54-2.67
Cu (0.4450, 0.9379, 0.6793)  6 Cu 2.58-2.66, 1 Al 2.84
Cu (0.4331, 0.4331, 0.1912)  6 Cu 2.54-2.67
Cu (0.9379, 0.9379, 0.6793)  6 Cu 2.58-2.66, 1 Al 2.84
Cu (0.1887, 0.1887, 0.4338)  6 Cu 2.54-2.59
Cu (0.6876, 0.6876, 0.9373)  6 Cu 2.65-2.66
Cu (0.4331, 0.9426, 0.1912)  6 Cu 2.54-2.67
Cu (0.9379, 0.4450, 0.6793)  6 Cu 2.58-2.66, 1 Al 2.84

=====

Record 4
A relaxed structure of Pm3Al2Cu3, computed with PBE-GGA.

Computed properties:
Its formation energy from the elements is -0.3016 eV per atom. The value obtained for the energy is -4.555 eV/atom.

Lattice parameters (Å, degrees): 6.3313 7.4499 14.8293 90.00 90.00 90.00
Last column: nearest neighbours and their distance in Å.
Element x y z (fractional)
Pm (0.1457, 0.5250, 0.3933)  5 Cu 2.96-3.16, 1 Al 3.22
Pm (0.6457, 0.9750, 0.6067)  5 Cu 2.96-3.16, 1 Al 3.22
Pm (0.8543, 0.4750, 0.8933)  5 Cu 2.96-3.16, 1 Al 3.22
Pm (0.3543, 0.0250, 0.1067)  5 Cu 2.96-3.16, 1 Al 3.22
Pm (0.8543, 0.4750, 0.6067)  5 Cu 2.96-3.16, 1 Al 3.22
Pm (0.3543, 0.0250, 0.3933)  5 Cu 2.96-3.16, 1 Al 3.22
Pm (0.1457, 0.5250, 0.1067)  5 Cu 2.96-3.16, 1 Al 3.22
Pm (0.6457, 0.9750, 0.8933)  5 Cu 2.96-3.16, 1 Al 3.22
Pm (0.6196, 0.3797, 0.2500)  4 Cu 2.97-3.12, 4 Al 3.16-3.17
Pm (0.1196, 0.1203, 0.7500)  4 Cu 2.97-3.12, 4 Al 3.16-3.17
Pm (0.3804, 0.6203, 0.7500)  4 Cu 2.97-3.12, 4 Al 3.16-3.17
Pm (0.8804, 0.8797, 0.2500)  4 Cu 2.97-3.12, 4 Al 3.16-3.17
Al (0.8573, 0.1706, 0.4055)  3 Cu 2.41-2.48
Al (0.3573, 0.3294, 0.5945)  3 Cu 2.41-2.48
Al (0.1427, 0.8294, 0.9055)  3 Cu 2.41-2.48
Al (0.6427, 0.6706, 0.0945)  3 Cu 2.41-2.48
Al (0.1427, 0.8294, 0.5945)  3 Cu 2.41-2.48
Al (0.6427, 0.6706, 0.4055)  3 Cu 2.41-2.48
Al (0.8573, 0.1706, 0.0945)  3 Cu 2.41-2.48
Al (0.3573, 0.3294, 0.9055)  3 Cu 2.41-2.48
Cu (0.0844, 0.2385, 0.2500)  2 Al 2.76, 3 Pm 2.97-3.04
Cu (0.5844, 0.2615, 0.7500)  2 Al 2.76, 3 Pm 2.97-3.04
Cu (0.9156, 0.7615, 0.7500)  2 Al 2.76, 3 Pm 2.97-3.04
Cu (0.4156, 0.7385, 0.2500)  2 Al 2.76, 3 Pm 2.97-3.04
Cu (0.5746, 0.3597, 0.4578)  3 Al 2.41-2.48, 1 Cu 2.61
Cu (0.0746, 0.1404, 0.5422)  3 Al 2.41-2.48, 1 Cu 2.61
Cu (0.4254, 0.6404, 0.9578)  3 Al 2.41-2.48, 1 Cu 2.61
Cu (0.9254, 0.8596, 0.0422)  3 Al 2.41-2.48, 1 Cu 2.61
Cu (0.4254, 0.6404, 0.5422)  3 Al 2.41-2.48, 1 Cu 2.61
Cu (0.9254, 0.8596, 0.4578)  3 Al 2.41-2.48, 1 Cu 2.61
Cu (0.5746, 0.3597, 0.0422)  3 Al 2.41-2.48, 1 Cu 2.61
Cu (0.0746, 0.1404, 0.9578)  3 Al 2.41-2.48, 1 Cu 2.61

=====

Record 5
A relaxed structure of Pm2PrAl2Cu2, computed with PBE-GGA.

Computed properties:
Its formation energy from the elements is -0.2581 eV per atom. The value obtained for the energy is -4.538 eV/atom.

Lattice parameters (Å, degrees): 4.5118 4.5118 9.6952 76.54 76.54 60.00
Last column: nearest neighbours and their distance in Å.
Element x y z (fractional)
Pm (0.1264, 0.1264, 0.6209)  3 Al 3.04, 3 Cu 3.08
Pm (0.8736, 0.8736, 0.3791)  3 Al 3.04, 3 Cu 3.08
Pr (0.0000, 0.0000, 0.0000)  6 Cu 3.23, 6 Al 3.27, 2 Pm 3.54
Al (0.7371, 0.7371, 0.7886)  3 Cu 2.61
Al (0.2629, 0.2629, 0.2114)  3 Cu 2.61
Cu (0.5987, 0.5987, 0.2038)  3 Al 2.61
Cu (0.4013, 0.4013, 0.7962)  3 Al 2.61

=====

Record 6
A relaxed structure of PmPrAlCu, computed with PBE-GGA.

Computed properties:
Its formation energy from the elements is -0.2049 eV per atom. The value obtained for the energy is -4.547 eV/atom.

Lattice parameters (Å, degrees): 5.2131 5.2131 5.2131 60.00 60.00 60.00
Last column: nearest neighbours and their distance in Å.
Element x y z (fractional)
Pr (0.0000, 0.0000, 0.0000)  4 Al 3.19, 4 Cu 3.19
Al (0.2500, 0.2500, 0.2500)  4 Pr 3.19, 4 Pm 3.19
Cu (0.7500, 0.7500, 0.7500)  4 Pr 3.19, 4 Pm 3.19
Pm (0.5000, 0.5000, 0.5000)  4 Al 3.19, 4 Cu 3.19

=====

Record 7
A relaxed structure of Pm2AlCuPt2, computed with PBE-GGA.

Computed properties:
Its formation energy from the elements is -0.8774 eV per atom. The value obtained for the energy is -5.781 eV/atom.

Lattice parameters (Å, degrees): 5.8741 5.9637 8.2758 111.12 110.79 90.00
Last column: nearest neighbours and their distance in Å.
Element x y z (fractional)
Pm (0.3941, 0.1672, 0.3344)  5 Pt 3.02-3.10, 2 Cu 3.11, 2 Al 3.24
Pm (0.6059, 0.8328, 0.6656)  5 Pt 3.02-3.10, 2 Cu 3.11, 2 Al 3.24
Pm (0.0597, 0.3328, 0.6656)  5 Pt 3.02-3.10, 2 Cu 3.11, 2 Al 3.24
Pm (0.9403, 0.6672, 0.3344)  5 Pt 3.02-3.10, 2 Cu 3.11, 2 Al 3.24
Al (0.5000, 0.7500, 0.0000)  4 Pt 2.60
Al (0.5000, 0.2500, 0.0000)  4 Pt 2.60
Cu (0.0000, 0.7500, 0.0000)  4 Pt 2.74, 2 Al 2.94, 2 Cu 2.98
Cu (0.0000, 0.2500, 0.0000)  4 Pt 2.74, 2 Al 2.94, 2 Cu 2.98
Pt (0.8437, 0.1155, 0.2311)  2 Al 2.60, 2 Cu 2.74
Pt (0.3874, 0.6155, 0.2311)  2 Al 2.60, 2 Cu 2.74
Pt (0.6126, 0.3845, 0.7689)  2 Al 2.60, 2 Cu 2.74
Pt (0.1563, 0.8845, 0.7689)  2 Al 2.60, 2 Cu 2.74

=====

Record 8
A relaxed structure of Pm2Al4Cu3Pt, computed with PBE-GGA.

Computed properties:
Its formation energy from the elements is -0.5832 eV per atom. The value obtained for the energy is -4.863 eV/atom.

Lattice parameters (Å, degrees): 4.2098 4.2098 10.3187 90.00 90.00 90.00
Last column: nearest neighbours and their distance in Å.
Element x y z (fractional)
Pm (0.5000, 0.0000, 0.2497)  6 Cu 3.22-3.33, 8 Al 3.22-3.33, 2 Pt 3.33
Pm (0.0000, 0.5000, 0.7503)  6 Cu 3.22-3.33, 8 Al 3.22-3.33, 2 Pt 3.33
Al (0.5000, 0.5000, 0.0000)  4 Cu 2.51
Al (0.0000, 0.0000, 0.0000)  4 Cu 2.51
Al (0.5000, 0.0000, 0.6310)  3 Cu 2.45-2.50, 2 Pt 2.50
Al (0.0000, 0.5000, 0.3690)  3 Cu 2.45-2.50, 2 Pt 2.50
Cu (0.0000, 0.0000, 0.5000)  4 Al 2.50
Cu (0.5000, 0.0000, 0.8682)  5 Al 2.45-2.51
Cu (0.0000, 0.5000, 0.1318)  5 Al 2.45-2.51
Pt (0.5000, 0.5000, 0.5000)  4 Al 2.50

=====

Record 9
A relaxed structure of PmAlCu2Pt4, computed with PBE-GGA.

Computed properties:
Its formation energy from the elements is -0.6674 eV per atom. The value obtained for the energy is -5.773 eV/atom.

Lattice parameters (Å, degrees): 4.3447 4.3447 8.5614 75.30 75.30 60.00
Last column: nearest neighbours and their distance in Å.
Element x y z (fractional)
Pm (0.0000, 0.0000, 0.0000)  8 Pt 3.01-3.23, 6 Cu 3.30
Al (0.5000, 0.5000, 0.5000)  8 Pt 2.43-2.65
Cu (0.7538, 0.7538, 0.7386)  7 Pt 2.55-2.82
Cu (0.2462, 0.2462, 0.2614)  7 Pt 2.55-2.82
Pt (0.4008, 0.4008, 0.7975)  1 Al 2.43, 3 Cu 2.55
Pt (0.8686, 0.8686, 0.3941)  3 Al 2.65, 4 Cu 2.73-2.82, 3 Pt 2.96
Pt (0.1314, 0.1314, 0.6059)  3 Al 2.65, 4 Cu 2.73-2.82, 3 Pt 2.96
Pt (0.5992, 0.5992, 0.2025)  1 Al 2.43, 3 Cu 2.55

=====

Record 10
A relaxed structure of PmAl3CuPt, computed with PBE-GGA.

Computed properties:
Its formation energy from the elements is -0.5044 eV per atom. The value obtained for the energy is -4.857 eV/atom.

Lattice parameters (Å, degrees): 5.9698 6.3677 6.7555 118.12 90.00 90.00
Last column: nearest neighbours and their distance in Å.
Element x y z (fractional)
Pm (0.7500, 0.2782, 0.5564)  1 Cu 2.73
Pm (0.2500, 0.7218, 0.4436)  1 Cu 2.73
Al (0.2500, 0.1553, 0.3106)  1 Cu 2.43, 1 Pt 2.50
Al (0.0000, 0.2895, 0.0000)  2 Cu 2.44, 2 Pt 2.57, 1 Al 2.68
Al (0.5000, 0.7105, 0.0000)  2 Cu 2.44, 2 Pt 2.57, 1 Al 2.68
Al (0.5000, 0.2895, 0.0000)  2 Cu 2.44, 2 Pt 2.57, 1 Al 2.68
Al (0.0000, 0.7105, 0.0000)  2 Cu 2.44, 2 Pt 2.57, 1 Al 2.68
Al (0.7500, 0.8447, 0.6894)  1 Cu 2.43, 1 Pt 2.50
Cu (0.2500, 0.9510, 0.9021)  5 Al 2.43-2.44
Cu (0.7500, 0.0490, 0.0979)  5 Al 2.43-2.44
Pt (0.2500, 0.3648, 0.7297)  5 Al 2.50-2.57
Pt (0.7500, 0.6352, 0.2703)  5 Al 2.50-2.57